[1]
Here is a relaxed VCuRu2 crystal from Alexandria via LeMat-Bulk. Energies are from PBE.

Summary:
- ΔH_f (0 K) (eV/atom) = -0.016
- V (Å³/atom) = 13.2
- crystal system = tetragonal
- SG = No. 123
- energy (eV/cell) = -31.83

a b c (Å): 3.8881 3.8881 3.5051
angles (deg): 90.00 90.00 90.00
Fractional positions:
V 0.0000 0.0000 0.0000
Cu 0.5000 0.5000 0.0000
Ru 0.0000 0.5000 0.5000
Ru 0.5000 0.0000 0.5000


[2]
Here is a relaxed VCuRu2 crystal from Alexandria via LeMat-Bulk. Energies are from PBE.

Summary:
- ΔH_f (0 K) (eV/atom) = 0.367
- V (Å³/atom) = 14.0
- crystal system = trigonal
- SG = No. 166
- energy (eV/cell) = -30.30

a b c (Å): 9.0761 9.0761 9.0761
angles (deg): 17.06 17.06 17.06
Fractional positions:
V 0.0000 0.0000 0.0000
Cu 0.5000 0.5000 0.5000
Ru 0.0858 0.0858 0.0858
Ru 0.9142 0.9142 0.9142


[3]
Here is a relaxed CuRuW2 crystal from Alexandria via LeMat-Bulk. Energies are from PBE.

Summary:
- ΔH_f (0 K) (eV/atom) = 0.239
- V (Å³/atom) = 14.7
- crystal system = tetragonal
- excess energy over the best structure of this formula in the dataset (meV per atom) = 68
- SG = No. 123
- energy (eV/cell) = -38.32

a b c (Å): 2.7781 2.7781 7.5951
angles (deg): 90.00 90.00 90.00
Fractional positions:
Cu 0.0000 0.0000 0.0000
Ru 0.0000 0.0000 0.5000
W 0.5000 0.5000 0.2486
W 0.5000 0.5000 0.7514


[4]
Here is a relaxed CuRu3W crystal from Alexandria via LeMat-Bulk. Energies are from PBE.

Summary:
- ΔH_f (0 K) (eV/atom) = 1.664
- V (Å³/atom) = 16.4
- crystal system = cubic
- excess energy over the best structure of this formula in the dataset (meV per atom) = 0
- SG = No. 221
- energy (eV/cell) = -36.56

a b c (Å): 4.3465 4.3465 4.3465
angles (deg): 90.00 90.00 90.00
Fractional positions:
Cu 0.0000 0.0000 0.0000
Ru 0.0000 0.0000 0.5000
Ru 0.0000 0.5000 0.0000
Ru 0.5000 0.0000 0.0000
W 0.5000 0.5000 0.5000